A plane-wave DFT calculation with PBE was carried out for a relaxed structure of MgGaCu5.

Computed properties:
SG: No. 65
crystal system: orthorhombic
E_tot: -25.1 eV per cell

Structure (CIF):
```
data_MgGaCu5
_symmetry_space_group_name_H-M 'P 1'
_symmetry_Int_Tables_number 1
_symmetry_space_group_name_Hall 'P 1'
_cell_length_a 4.6894
_cell_length_b 4.6894
_cell_length_c 5.1170
_cell_angle_alpha 90.01
_cell_angle_beta 90.01
_cell_angle_gamma 116.35
loop_
_atom_site_label
_atom_site_type_symbol
_atom_site_fract_x
_atom_site_fract_y
_atom_site_fract_z
Mg1 Mg 0.0000 0.0000 0.0000
Cu1 Cu 0.0000 0.0000 0.5000
Cu2 Cu 0.0001 0.5000 0.7466
Cu3 Cu 0.5000 0.9999 0.2534
Cu4 Cu 0.9999 0.5000 0.2534
Ga1 Ga 0.5000 0.5000 0.5000
Cu5 Cu 0.5000 0.0001 0.7466
```